LiDy2HoSe4 | GGA-PBE | relaxed

**Formation energy without anion corrections**: -1.738 eV/atom
**Theoretical density**: 7.23 g cm⁻³

Lattice parameters (Å, degrees): 4.0323 7.0017 7.0050 109.27 90.00 90.00
Last column: nearest neighbours and their distance in Å.
Sites, in units of the cell vectors:
Se: 0.0000 0.2457 0.7566  1 Li 2.79, 2 Ho 2.85, 3 Dy 2.87-2.92
Se: 0.5000 0.7567 0.7578  2 Li 2.82, 1 Ho 2.85, 3 Dy 2.86-2.90
Se: 0.0000 0.7543 0.2434  1 Li 2.79, 2 Ho 2.85, 3 Dy 2.87-2.92
Se: 0.5000 0.2433 0.2422  2 Li 2.82, 1 Ho 2.85, 3 Dy 2.86-2.90
Ho: 0.5000 0.5000 0.0000  6 Se 2.85
Dy: 0.5000 0.0000 0.5000  6 Se 2.86-2.87
Dy: 0.0000 0.5000 0.5000  6 Se 2.90-2.92
Li: 0.0000 0.0000 0.0000  6 Se 2.79-2.82